# 1
# PdAuI2

PdAuI2 after structural relaxation (PBE, Alexandria).

Cell: 7.361 7.361 7.361 Å, 90.00 90.00 90.00°
Space group Fm-3m (No. 225)
One atom of each set of equivalent atoms:
1 Pd 0.000 0.000 0.000 (multiplicity 4)
2 Au 0.000 0.000 0.500 (multiplicity 4)
3 I 0.250 0.250 0.250 (multiplicity 8)

Computed properties:
* energy: -2.37 eV/atom
* polymorph energy (0 for the lowest one): 457.8 meV/atom

---

# 2
# PaReSi2Os

PaReSi2Os after structural relaxation (PBE, Alexandria).

Cell: 4.190 4.190 9.670 Å, 90.00 90.00 90.00°
Space group I-4m2 (No. 119)
One atom of each set of equivalent atoms:
1 Pa 0.000 0.000 0.000 (multiplicity 2)
2 Re 0.000 0.500 0.750 (multiplicity 2)
3 Si 0.000 0.000 0.376 (multiplicity 4)
4 Os 0.000 0.500 0.250 (multiplicity 2)

Computed properties:
* energy: -9.37 eV/atom

---

In the order shown, the computed raw formation energy values come out to 0.53 -0.57 eV/atom.
In the order shown, the computed M_tot values come out to 0.00 0.00 μB per atom.
In the order shown, the computed N(E_F) values come out to 23.473 9.551 states/eV per cell.